[1]
# Ba3TcN, relaxed, DFT PBE
data_Ba3TcN
_space_group_name_H-M_alt 'P 1'
_space_group_IT_number 1
_space_group_name_Hall 'P 1'
_cell_length_a 5.5267
_cell_length_b 5.5267
_cell_length_c 5.5267
_cell_angle_alpha 90.00
_cell_angle_beta 90.00
_cell_angle_gamma 90.00
loop_
_atom_site_label
_atom_site_type_symbol
_atom_site_fract_x
_atom_site_fract_y
_atom_site_fract_z
_atom_site_occupancy
Ba1 Ba 0.0000 0.0000 0.5000 1
Ba2 Ba 0.0000 0.5000 0.0000 1
Ba3 Ba 0.5000 0.0000 0.0000 1
Tc1 Tc 0.5000 0.5000 0.5000 1
N1 N 0.0000 0.0000 0.0000 1
# Calculated density ... 5.2 Mg/m³
# Symmetry ... Pm-3m (221)
# Polymorph energy (0 for the lowest one) ... 0.0 kJ/mol of atoms
# Final energy ... -4.38 eV/atom

---

[2]
# TiNbW2Se, relaxed, DFT PBE
data_TiNbW2Se
_space_group_name_H-M_alt 'P 1'
_space_group_IT_number 1
_space_group_name_Hall 'P 1'
_cell_length_a 4.6250
_cell_length_b 4.6250
_cell_length_c 4.4841
_cell_angle_alpha 90.00
_cell_angle_beta 90.00
_cell_angle_gamma 90.00
loop_
_atom_site_label
_atom_site_type_symbol
_atom_site_fract_x
_atom_site_fract_y
_atom_site_fract_z
_atom_site_occupancy
Ti1 Ti 0.0000 0.0000 0.0000 1
Nb1 Nb 0.5000 0.5000 0.0000 1
W1 W 0.0000 0.5000 0.5000 1
W2 W 0.5000 0.0000 0.5000 1
Se1 Se 0.0000 0.0000 0.5000 1
# Calculated density ... 10.2 Mg/m³
# Symmetry ... P4/mmm (123)
# Final energy ... -8.45 eV/atom

---

[3]
# K4PbI6, relaxed, DFT PBE
data_K4PbI6
_space_group_name_H-M_alt 'P 1'
_space_group_IT_number 1
_space_group_name_Hall 'P 1'
_cell_length_a 9.9888
_cell_length_b 9.9888
_cell_length_c 9.9888
_cell_angle_alpha 90.50
_cell_angle_beta 90.50
_cell_angle_gamma 90.50
loop_
_atom_site_label
_atom_site_type_symbol
_atom_site_fract_x
_atom_site_fract_y
_atom_site_fract_z
_atom_site_occupancy
K1 K 0.1384 0.7500 0.3616 1
K2 K 0.2500 0.2500 0.2500 1
K3 K 0.2500 0.6384 0.8616 1
K4 K 0.3616 0.1384 0.7500 1
K5 K 0.6384 0.8616 0.2500 1
K6 K 0.7500 0.3616 0.1384 1
K7 K 0.7500 0.7500 0.7500 1
K8 K 0.8616 0.2500 0.6384 1
Pb1 Pb 0.0000 0.0000 0.0000 1
Pb2 Pb 0.5000 0.5000 0.5000 1
I1 I 0.0549 0.9277 0.6890 1
I2 I 0.0723 0.3110 0.9451 1
I3 I 0.1890 0.4277 0.5549 1
I4 I 0.3110 0.9451 0.0723 1
I5 I 0.4277 0.5549 0.1890 1
I6 I 0.4451 0.8110 0.5723 1
I7 I 0.5549 0.1890 0.4277 1
I8 I 0.5723 0.4451 0.8110 1
I9 I 0.6890 0.0549 0.9277 1
I10 I 0.8110 0.5723 0.4451 1
I11 I 0.9277 0.6890 0.0549 1
I12 I 0.9451 0.0723 0.3110 1
# Calculated density ... 3.7 Mg/m³
# Symmetry ... R-3c (167)
# Final energy ... -2.82 eV/atom

---

[4]
# TcRh2W2, relaxed, DFT PBE
data_TcRh2W2
_space_group_name_H-M_alt 'P 1'
_space_group_IT_number 1
_space_group_name_Hall 'P 1'
_cell_length_a 7.5202
_cell_length_b 7.5202
_cell_length_c 2.7595
_cell_angle_alpha 90.00
_cell_angle_beta 90.00
_cell_angle_gamma 90.00
loop_
_atom_site_label
_atom_site_type_symbol
_atom_site_fract_x
_atom_site_fract_y
_atom_site_fract_z
_atom_site_occupancy
Tc1 Tc 0.0000 0.0000 0.0000 1
Tc2 Tc 0.5000 0.5000 0.0000 1
Rh1 Rh 0.1250 0.3750 0.0000 1
Rh2 Rh 0.3750 0.8750 0.0000 1
Rh3 Rh 0.6250 0.1250 0.0000 1
Rh4 Rh 0.8750 0.6250 0.0000 1
W1 W 0.1728 0.6728 0.5000 1
W2 W 0.3272 0.1728 0.5000 1
W3 W 0.6728 0.8272 0.5000 1
W4 W 0.8272 0.3272 0.5000 1
# Energy of formation ... 0.163 eV/atom
# Calculated density ... 14.3 Mg/m³
# Symmetry ... P4/mbm (127)
# Final energy ... -10.03 eV/atom